Entry 1:
Compound: Na2CaHgAs2
Source: Alexandria via LeMat-Bulk
Functional: GGA-PBE
Structure: relaxed

The total magnetization is 0.00 μB per formula unit. The calculation puts the total energy at -0.2193 Ry/atom. The density of states at the Fermi level is 0.7 states/eV per cell. The calculated formation energy is -0.61 eV/atom. As for the volume: 290.5 Å³ per cell.

Unit cell a=4.4314 b=8.7761 c=7.4702 alpha=90.00 beta=90.00 gamma=90.00
Positions (direct):
Na: 0.0000 0.0825 0.0000
Na: 0.0000 0.9175 0.5000
Na: 0.5000 0.1734 0.3219
Na: 0.5000 0.8266 0.8219
Ca: 0.5000 0.4381 0.9380
Ca: 0.5000 0.5619 0.4380
Hg: 0.0000 0.3056 0.6028
Hg: 0.0000 0.6944 0.1028
As: 0.0000 0.3843 0.2256
As: 0.0000 0.6157 0.7256
As: 0.5000 0.1511 0.7207
As: 0.5000 0.8489 0.2207

***

Entry 2:
Compound: LiCoSi2
Source: Alexandria via LeMat-Bulk
Functional: GGA-PBE
Structure: relaxed

The total magnetization is 0.00 μB per formula unit. The calculation puts the total energy at -0.3774 Ry/atom. Its uncorrected formation energy is -0.169 eV/atom. The value obtained for the energy above the lowest structure with this stoichiometry is 120 meV/atom. The density of states at the Fermi level is 3.9 states/eV per cell. As for the volume: 91.4 Å³ per cell.

Unit cell a=3.5220 b=3.5220 c=7.3718 alpha=90.00 beta=90.00 gamma=90.00
Positions (direct):
Li: 0.0000 0.0000 0.0000
Li: 0.5000 0.5000 0.5000
Co: 0.0000 0.5000 0.7500
Co: 0.5000 0.0000 0.2500
Si: 0.0000 0.0000 0.5000
Si: 0.0000 0.5000 0.2500
Si: 0.5000 0.0000 0.7500
Si: 0.5000 0.5000 0.0000

***

Entry 3:
Compound: TbAgPbAu
Source: Alexandria via LeMat-Bulk
Functional: GGA-PBE
Structure: relaxed

The total magnetization is 0.00 μB per formula unit. The calculation puts the total energy at -0.2969 Ry/atom. The density of states at the Fermi level is 8.1 states/eV per cell. The calculated formation energy is -0.42 eV/atom. As for the volume: 366.5 Å³ per cell.

Unit cell a=7.1564 b=7.1564 c=7.1564 alpha=90.00 beta=90.00 gamma=90.00
Positions (direct):
Tb: 0.0000 0.0000 0.0000
Tb: 0.0000 0.5000 0.5000
Tb: 0.5000 0.0000 0.5000
Tb: 0.5000 0.5000 0.0000
Ag: 0.2500 0.2500 0.2500
Ag: 0.2500 0.7500 0.7500
Ag: 0.7500 0.2500 0.7500
Ag: 0.7500 0.7500 0.2500
Pb: 0.0000 0.0000 0.5000
Pb: 0.0000 0.5000 0.0000
Pb: 0.5000 0.0000 0.0000
Pb: 0.5000 0.5000 0.5000
Au: 0.2500 0.2500 0.7500
Au: 0.2500 0.7500 0.2500
Au: 0.7500 0.2500 0.2500
Au: 0.7500 0.7500 0.7500

***

Entry 4:
Compound: Sc3ZnN
Source: Alexandria via LeMat-Bulk
Functional: GGA-PBE
Structure: relaxed

The total magnetization is 0.00 μB per formula unit. The calculation puts the total energy at -0.4720 Ry/atom. Its uncorrected formation energy is -0.703 eV/atom. The density of states at the Fermi level is 4.9 states/eV per cell. As for the volume: 193.9 Å³ per cell.

Unit cell a=7.4513 b=7.4513 c=7.4513 alpha=142.19 beta=65.01 gamma=129.23
Positions (direct):
Sc: 0.1600 0.4100 0.7500
Sc: 0.2107 0.0932 0.1175
Sc: 0.4757 0.0932 0.3825
Sc: 0.5243 0.9068 0.6175
Sc: 0.7893 0.9068 0.8825
Sc: 0.8400 0.5900 0.2500
Zn: 0.0000 0.5000 0.5000
Zn: 0.5000 0.5000 0.0000
N: 0.1600 0.9100 0.2500
N: 0.8400 0.0900 0.7500

***

Entry 5:
Compound: In2AgW
Source: Alexandria via LeMat-Bulk
Functional: GGA-PBE
Structure: relaxed

The total magnetization is 2.10 μB per formula unit. The calculation puts the total energy at -0.3266 Ry/atom. The value obtained for the energy above the lowest structure with this stoichiometry is 471 meV/atom. The density of states at the Fermi level is 13.5 states/eV per cell. The calculated formation energy is 0.88 eV/atom. As for the volume: 321.8 Å³ per cell.

Unit cell a=6.8526 b=6.8526 c=6.8526 alpha=90.00 beta=90.00 gamma=90.00
Positions (direct):
In: 0.0000 0.0000 0.0000
In: 0.0000 0.5000 0.5000
In: 0.2500 0.2500 0.2500
In: 0.2500 0.7500 0.7500
In: 0.5000 0.0000 0.5000
In: 0.5000 0.5000 0.0000
In: 0.7500 0.2500 0.7500
In: 0.7500 0.7500 0.2500
Ag: 0.0000 0.0000 0.5000
Ag: 0.0000 0.5000 0.0000
Ag: 0.5000 0.0000 0.0000
Ag: 0.5000 0.5000 0.5000
W: 0.2500 0.2500 0.7500
W: 0.2500 0.7500 0.2500
W: 0.7500 0.2500 0.2500
W: 0.7500 0.7500 0.7500

***

Entry 6:
Compound: Pm2Y2Zn
Source: Alexandria via LeMat-Bulk
Functional: GGA-PBE
Structure: relaxed

The total magnetization is 0.00 μB per formula unit. The calculation puts the total energy at -0.3512 Ry/atom. The value obtained for the energy above the lowest structure with this stoichiometry is 96 meV/atom. The density of states at the Fermi level is 10.7 states/eV per cell. The calculated formation energy is -0.04 eV/atom. As for the volume: 295.8 Å³ per cell.

Unit cell a=6.3626 b=6.3626 c=8.2162 alpha=106.51 beta=106.51 gamma=98.75
Positions (direct):
Pm: 0.1639 0.1639 0.4128
Pm: 0.2721 0.2721 0.8743
Pm: 0.7279 0.7279 0.1257
Pm: 0.8361 0.8361 0.5873
Y: 0.2402 0.6179 0.2644
Y: 0.3821 0.7598 0.7356
Y: 0.6179 0.2402 0.2644
Y: 0.7598 0.3821 0.7356
Zn: 0.1431 0.8569 0.0000
Zn: 0.8569 0.1431 0.0000